The following is a DFT calculation (GGA-PBE) of crystalline BaTaTc2 at its relaxed geometry.

```
BaTaTc2
1.0
5.049 0.000 0.000
0.000 5.049 0.000
2.525 2.525 8.762
Ba Tc Ta
2 4 2
Direct
0.500 0.500 0.000
0.250 0.750 0.500
0.875 0.625 0.250
0.375 0.125 0.750
0.875 0.125 0.250
0.875 0.125 0.750
0.000 0.000 0.000
0.750 0.250 0.500
```

Summary:
ΔH_f (0 K) = 1059 meV/atom
energy = -7.568 eV/atom
relative energy among the computed polymorphs = 14.11 kcal/mol of atoms
magnetization = 0.000 μB per atom
space group = I4_1/amd (141)

---

The following is a DFT calculation (GGA-PBE) of crystalline CaTl2BiO6 at its relaxed geometry.

```
CaTl2BiO6
1.0
5.884 0.000 0.000
2.942 5.095 0.000
2.942 1.699 5.139
Ca Bi O Tl
1 1 6 2
Direct
0.806 0.806 0.581
0.313 0.313 0.060
0.700 0.132 0.764
0.615 0.214 0.249
0.132 0.405 0.764
0.923 0.615 0.249
0.214 0.923 0.249
0.405 0.700 0.764
0.529 0.529 0.414
0.026 0.026 0.923
```

Summary:
energy = -5.276 eV/atom
magnetization = 0.056 μB per atom
formation energy without anion corrections = -1.239 eV/atom
space group = R3 (146)

---

The following is a DFT calculation (GGA-PBE) of crystalline NaPaH2F8 at its relaxed geometry.

```
NaPaH2F8
1.0
-3.853 -2.487 -2.147
4.696 -0.558 -1.810
1.121 -5.785 4.690
Na H Pa F
1 2 1 8
Direct
0.000 0.000 0.000
0.667 0.333 0.159
0.333 0.667 0.841
0.000 0.000 0.500
0.330 0.315 0.322
0.670 0.685 0.678
0.315 0.986 0.678
0.986 0.670 0.322
0.014 0.330 0.678
0.685 0.014 0.322
0.333 0.667 0.968
0.667 0.333 0.032
```

Summary:
energy = -5.548 eV/atom
magnetization = 0.000 μB per atom
space group = P-3 (147)

---

The following is a DFT calculation (GGA-PBE) of crystalline Ac8Ir2Os at its relaxed geometry.

```
Ac8Ir2Os
1.0
-2.626 5.182 -4.285
4.823 -4.678 -5.017
-3.435 -7.089 -2.873
Ac Ir Os
8 2 1
Direct
0.742 0.640 0.092
0.258 0.360 0.908
0.742 0.092 0.640
0.244 0.870 0.870
0.253 0.390 0.390
0.258 0.908 0.360
0.756 0.130 0.130
0.747 0.610 0.610
0.517 0.274 0.274
0.483 0.726 0.726
0.000 0.000 0.000
```

Summary:
ΔH_f (0 K) = -286 meV/atom
energy = -5.906 eV/atom
relative energy among the computed polymorphs = 0.00 kcal/mol of atoms
magnetization = 0.000 μB per atom
space group = C2/m (12)

---

The following is a DFT calculation (GGA-PBE) of crystalline Pb2SeI at its relaxed geometry.

```
Pb2SeI
1.0
-3.721 -1.003 1.580
-0.242 -2.058 3.613
-1.541 6.696 6.112
I Pb Se
1 2 1
Direct
0.500 0.500 0.500
0.739 0.739 0.783
0.261 0.261 0.217
0.000 0.000 0.000
```

Summary:
energy = -3.506 eV/atom
relative energy among the computed polymorphs = 0.00 kcal/mol of atoms
magnetization = 0.000 μB per atom
formation energy without anion corrections = -0.393 eV/atom
space group = R-3m (166)

---

The following is a DFT calculation (GGA-PBE) of crystalline K2RbSrOs at its relaxed geometry.

```
K2RbSrOs
1.0
6.242 0.000 0.000
0.000 5.549 0.000
0.000 0.000 6.242
K Rb Sr Os
2 1 1 1
Direct
0.000 0.000 0.500
0.500 0.000 0.000
0.000 0.000 0.000
0.500 0.500 0.500
0.000 0.500 0.000
```

Summary:
ΔH_f (0 K) = 1412 meV/atom
energy = -1.802 eV/atom
magnetization = 0.119 μB per atom
space group = P4/mmm (123)